Here is Zn3PdAu6 after structural relaxation from Alexandria. Energies are from PBE-GGA.

* total energy: -2.981 eV/atom

a = 7.118 Å, b = 6.820 Å, c = 7.252 Å
α = 90.00°, β = 89.85°, γ = 90.00°
Fractional coordinates of all 20 atoms:
Au  0.786  0.355  0.247
Zn  0.070  0.701  0.241
Au  0.639  0.141  0.944
Au  0.214  0.645  0.753
Au  0.342  0.871  0.442
Pd  0.500  0.500  0.500
Au  0.714  0.855  0.253
Au  0.861  0.641  0.556
Au  0.361  0.859  0.056
Zn  0.430  0.201  0.259
Au  0.158  0.371  0.058
Au  0.658  0.129  0.558
Au  0.842  0.629  0.942
Pd  0.000  0.000  0.000
Au  0.286  0.145  0.747
Zn  0.930  0.299  0.759
Zn  0.500  0.500  0.000
Au  0.139  0.359  0.444
Zn  0.000  0.000  0.500
Zn  0.570  0.799  0.741